# Ba3YSc | Alexandria via LeMat-Bulk | PBE-GGA | optimized geometry
# - formation energy (meV per atom) = 908
# - distance to the lowest polymorph of the same formula (kJ/mol of formula units) = 78
data_Ba3YSc
_cell_length_a 6.440
_cell_length_b 6.440
_cell_length_c 6.440
_cell_angle_alpha 90.00
_cell_angle_beta 90.00
_cell_angle_gamma 90.00
_space_group_name_H-M_alt 'P m -3 m'
_space_group_IT_number 221
_space_group_name_Hall '-P 4 2 3'
loop_
_atom_site_label
_atom_site_type_symbol
_atom_site_fract_x
_atom_site_fract_y
_atom_site_fract_z
Ba1 Ba 0.000 0.000 0.500
Y1 Y 0.000 0.000 0.000
Sc1 Sc 0.500 0.500 0.500


# CeDy8Er2 | Alexandria via LeMat-Bulk | PBE-GGA | optimized geometry
# - formation energy (meV per atom) = 38
# - distance to the lowest polymorph of the same formula (kJ/mol of formula units) = 0
data_CeDy8Er2
_cell_length_a 18.038
_cell_length_b 4.997
_cell_length_c 7.903
_cell_angle_alpha 90.00
_cell_angle_beta 105.24
_cell_angle_gamma 90.00
_space_group_name_H-M_alt 'C 1 2/m 1'
_space_group_IT_number 12
loop_
_space_group_symop_operation_xyz
'x,y,z'
'-x,-y,-z'
'-x,y,-z'
'x,-y,z'
'x+1/2,y+1/2,z'
'-x+1/2,-y+1/2,-z'
'-x+1/2,y+1/2,-z'
'x+1/2,-y+1/2,z'
loop_
_atom_site_label
_atom_site_type_symbol
_atom_site_fract_x
_atom_site_fract_y
_atom_site_fract_z
Ce1 Ce 0.000 0.000 0.000
Dy1 Dy 0.045 0.500 0.730
Dy2 Dy 0.091 0.000 0.455
Dy3 Dy 0.136 0.500 0.182
Dy4 Dy 0.181 0.000 0.908
Er1 Er 0.228 0.500 0.637